Sr2PuBe2P4: relaxed, PBE.

## Properties
ΔH_f (0 K)   -0.836 eV/atom
Magnetization   4.00 Bohr magnetons per cell
Density   4.972 Mg/m³
Uncorrected energy   -6.03 eV per atom
D(E_F)   10.30 states/eV/f.u.

Structure (POSCAR):
```
Sr2PuBe2P4
1.0
7.2741 -1.9550 0.0000
7.2741 1.9550 0.0000
-2.5335 0.0000 6.5897
Sr Pu Be P
2 1 2 4
direct
0.1361 0.1361 0.0717
0.8639 0.8639 0.9283
0.0000 0.0000 0.5000
0.3239 0.3239 0.5166
0.6761 0.6761 0.4834
0.2062 0.2062 0.6664
0.4754 0.4754 0.7457
0.5246 0.5246 0.2543
0.7938 0.7938 0.3336
```